Arrangement i

Compound: CaTcSe2N
Source: the Alexandria database
Functional: PBE-GGA
Structure: optimized geometry

POSCAR file:
```
CaTcSe2N
1.0
5.174 0.000 0.000
0.000 5.174 0.000
0.000 0.000 3.764
Se Ca Tc N
2 1 1 1
direct
0.000 0.500 0.000
0.500 0.000 0.000
0.500 0.500 0.500
0.000 0.000 0.000
0.000 0.000 0.500
```

Its density of states at the Fermi level is 2.4 states/eV/f.u. For the total magnetization, the calculation gives 1.0 μB per formula unit. The space group is P4/mmm.

=====

Arrangement ii

Compound: CaTcSe2N
Source: the Alexandria database
Functional: PBE-GGA
Structure: optimized geometry

POSCAR file:
```
CaTcSe2N
1.0
5.448 0.000 0.000
0.000 5.448 0.000
0.000 0.000 4.406
Ca Se Tc N
1 2 1 1
direct
0.000 0.000 0.000
0.000 0.500 0.000
0.500 0.000 0.000
0.500 0.500 0.500
0.000 0.000 0.500
```

Its density of states at the Fermi level is 2.5 states/eV/f.u. For the total magnetization, the calculation gives 2.0 μB per formula unit. The space group is P4/mmm.

=====

Most stable: arrangement i